[1]
A geometry-optimized Re2Os structure, computed with GGA-PBE.

Geometry as extended XYZ:
```
6
Lattice="0.000 5.581 5.581 5.581 0.000 5.581 5.581 5.581 0.000" Properties=species:S:1:pos:R:3 pbc="T T T"
Re 0.000 0.000 0.000
Re 2.790 2.790 0.000
Re 2.790 0.000 2.790
Re 0.000 2.790 2.790
Os 1.395 1.395 1.395
Os 9.767 9.767 9.767
```

Calculated values
Its uncorrected energy is -8.001 eV/atom. The calculation puts the calculated formation energy at 4.02 eV per atom. The polymorph energy (0 for the lowest one) is 3500 meV/atom.



[2]
A geometry-optimized CsReSi structure, computed with GGA-PBE.

Geometry as extended XYZ:
```
12
Lattice="7.417 0.000 0.000 0.000 7.417 0.000 0.000 0.000 7.417" Properties=species:S:1:pos:R:3 pbc="T T T"
Cs 0.000 0.000 0.000
Cs 0.000 3.708 3.708
Cs 3.708 0.000 3.708
Cs 3.708 3.708 0.000
Re 1.854 1.854 5.563
Re 1.854 5.563 1.854
Re 5.563 1.854 1.854
Re 5.563 5.563 5.563
Si 1.854 1.854 1.854
Si 1.854 5.563 5.563
Si 5.563 1.854 5.563
Si 5.563 5.563 1.854
```

Calculated values
Its uncorrected energy is -3.283 eV/atom. The polymorph energy (0 for the lowest one) is 1251 meV/atom.



[3]
A geometry-optimized Sm3As4Pd4 structure, computed with GGA-PBE.

Geometry as extended XYZ:
```
11
Lattice="-2.133 3.562 7.090 2.133 -3.562 7.090 2.133 3.562 -7.090" Properties=species:S:1:pos:R:3 pbc="T T T"
Sm 0.000 0.000 0.000
Sm 2.133 0.000 5.257
Sm 0.000 3.562 1.833
As 0.000 0.000 3.055
As 2.133 2.167 0.000
As 0.000 1.395 7.090
As 0.000 0.000 11.126
Pd 2.133 1.416 -2.431
Pd 2.133 1.416 2.431
Pd 0.000 2.146 4.659
Pd 0.000 2.146 9.521
```

Calculated values
Its uncorrected energy is -5.905 eV/atom.



[4]
A geometry-optimized RbSnIr structure, computed with GGA-PBE.

Geometry as extended XYZ:
```
12
Lattice="6.922 0.000 0.000 0.000 6.922 0.000 0.000 0.000 6.922" Properties=species:S:1:pos:R:3 pbc="T T T"
Rb 0.000 0.000 0.000
Rb 0.000 3.461 3.461
Rb 3.461 0.000 3.461
Rb 3.461 3.461 0.000
Sn 0.000 0.000 3.461
Sn 0.000 3.461 0.000
Sn 3.461 0.000 0.000
Sn 3.461 3.461 3.461
Ir 1.730 1.730 1.730
Ir 1.730 5.191 5.191
Ir 5.191 1.730 5.191
Ir 5.191 5.191 1.730
```

Calculated values
Its uncorrected energy is -3.968 eV/atom. The polymorph energy (0 for the lowest one) is 0 meV/atom.



[5]
A geometry-optimized SrErAgTe2Se structure, computed with GGA-PBE.

Geometry as extended XYZ:
```
12
Lattice="2.146 -7.362 0.000 2.146 7.362 0.000 0.000 0.000 10.759" Properties=species:S:1:pos:R:3 pbc="T T T"
Sr 2.146 3.843 8.069
Sr 2.146 -3.843 2.690
Er 2.146 0.000 0.000
Er 2.146 0.000 5.379
Ag 2.146 6.976 2.690
Ag 2.146 -6.976 8.069
Te 2.146 5.209 0.556
Te 2.146 5.209 4.824
Te 2.146 -5.209 5.935
Te 2.146 -5.209 10.203
Se 2.146 1.196 2.690
Se 2.146 -1.196 8.069
```

Calculated values
Its uncorrected energy is -4.429 eV/atom.



[6]
A geometry-optimized Y3ReTe5 structure, computed with GGA-PBE.

Geometry as extended XYZ:
```
9
Lattice="8.712 0.000 0.000 -4.356 7.544 0.000 0.000 0.000 3.811" Properties=species:S:1:pos:R:3 pbc="T T T"
Y -2.793 4.838 0.000
Y 1.563 2.707 0.000
Y 5.586 0.000 0.000
Re 0.000 0.000 0.000
Te -0.981 1.699 1.905
Te 1.961 0.000 1.905
Te 0.000 5.030 1.905
Te 4.356 2.515 1.905
Te 3.375 5.846 1.905
```

Calculated values
Its uncorrected energy is -5.964 eV/atom. The polymorph energy (0 for the lowest one) is 0 meV/atom.



[7]
A geometry-optimized SrBi2Pt2 structure, computed with GGA-PBE.

Geometry as extended XYZ:
```
10
Lattice="4.959 0.000 0.000 0.000 4.959 0.000 0.000 0.000 11.026" Properties=species:S:1:pos:R:3 pbc="T T T"
Sr 0.000 0.000 0.000
Sr 2.479 2.479 5.513
Bi 0.000 0.000 3.963
Bi 0.000 0.000 7.063
Bi 2.479 2.479 1.550
Bi 2.479 2.479 9.476
Pt 0.000 2.479 2.756
Pt 0.000 2.479 8.269
Pt 2.479 0.000 2.756
Pt 2.479 0.000 8.269
```

Calculated values
Its uncorrected energy is -4.835 eV/atom.



[8]
A geometry-optimized Ni3C2 structure, computed with GGA-PBE.

Geometry as extended XYZ:
```
10
Lattice="2.573 1.485 4.071 -2.573 1.485 4.071 0.000 -2.971 4.071" Properties=species:S:1:pos:R:3 pbc="T T T"
Ni -1.817 -0.176 5.089
Ni -0.756 -1.661 7.124
Ni 1.060 -1.485 5.089
Ni -1.060 1.485 7.124
Ni 0.756 1.661 5.089
Ni 1.817 0.176 7.124
C 0.000 0.000 1.728
C 0.000 0.000 4.378
C 0.000 0.000 7.834
C 0.000 0.000 10.485
```

Calculated values
Its uncorrected energy is -6.485 eV/atom.



[9]
A geometry-optimized AgOsO3 structure, computed with GGA-PBE.

Geometry as extended XYZ:
```
20
Lattice="5.425 0.000 0.000 0.000 7.654 0.000 0.000 0.000 5.413" Properties=species:S:1:pos:R:3 pbc="T T T"
Ag 0.093 1.913 0.041
Ag 2.620 5.740 2.747
Ag 2.806 1.913 2.666
Ag 5.333 5.740 5.372
Os 0.000 0.000 2.706
Os 0.000 3.827 2.706
Os 2.713 0.000 0.000
Os 2.713 3.827 0.000
O 5.423 1.913 3.210
O 0.002 5.740 2.202
O 1.227 4.151 4.191
O 1.227 7.330 4.191
O 1.485 0.324 1.484
O 1.485 3.503 1.484
O 2.710 1.913 4.909
O 2.715 5.740 0.504
O 3.940 4.151 3.929
O 3.940 7.330 3.929
O 4.198 0.324 1.222
O 4.198 3.503 1.222
```

Calculated values
Its uncorrected energy is -6.321 eV/atom.



[10]
A geometry-optimized ThMoPt structure, computed with GGA-PBE.

Geometry as extended XYZ:
```
12
Lattice="6.625 0.000 0.000 0.000 6.625 0.000 0.000 0.000 6.625" Properties=species:S:1:pos:R:3 pbc="T T T"
Th 0.000 0.000 0.000
Th 0.000 3.313 3.313
Th 3.313 0.000 3.313
Th 3.313 3.313 0.000
Mo 1.656 1.656 4.969
Mo 1.656 4.969 1.656
Mo 4.969 1.656 1.656
Mo 4.969 4.969 4.969
Pt 1.656 1.656 1.656
Pt 1.656 4.969 4.969
Pt 4.969 1.656 4.969
Pt 4.969 4.969 1.656
```

Calculated values
Its uncorrected energy is -7.578 eV/atom. The calculation puts the calculated formation energy at 0.53 eV per atom. The polymorph energy (0 for the lowest one) is 376 meV/atom.



[11]
A geometry-optimized BaSrScAu structure, computed with GGA-PBE.

Geometry as extended XYZ:
```
16
Lattice="7.716 0.000 0.000 0.000 7.716 0.000 0.000 0.000 7.716" Properties=species:S:1:pos:R:3 pbc="T T T"
Ba 0.000 0.000 0.000
Ba 0.000 3.858 3.858
Ba 3.858 0.000 3.858
Ba 3.858 3.858 0.000
Sr 1.929 1.929 5.787
Sr 1.929 5.787 1.929
Sr 5.787 1.929 1.929
Sr 5.787 5.787 5.787
Sc 1.929 1.929 1.929
Sc 1.929 5.787 5.787
Sc 5.787 1.929 5.787
Sc 5.787 5.787 1.929
Au 0.000 0.000 3.858
Au 0.000 3.858 0.000
Au 3.858 0.000 0.000
Au 3.858 3.858 3.858
```

Calculated values
Its uncorrected energy is -3.226 eV/atom. The polymorph energy (0 for the lowest one) is 0 meV/atom.



[12]
A geometry-optimized SrHfAs structure, computed with GGA-PBE.

Geometry as extended XYZ:
```
12
Lattice="7.214 0.000 0.000 0.000 7.214 0.000 0.000 0.000 7.214" Properties=species:S:1:pos:R:3 pbc="T T T"
Sr 0.000 0.000 0.000
Sr 0.000 3.607 3.607
Sr 3.607 0.000 3.607
Sr 3.607 3.607 0.000
Hf 1.804 1.804 1.804
Hf 1.804 5.411 5.411
Hf 5.411 1.804 5.411
Hf 5.411 5.411 1.804
As 1.804 1.804 5.411
As 1.804 5.411 1.804
As 5.411 1.804 1.804
As 5.411 5.411 5.411
```

Calculated values
Its uncorrected energy is -4.450 eV/atom. The polymorph energy (0 for the lowest one) is 1017 meV/atom.



Size of the total moment readings, ordered: 13.24, 12.17, 0.01, 0.01, 0.00, 0.00, 0.00, 0.00, 0.25, 8.32, 0.43, 7.35 μB per cell